Record 1
K3SrAu4 | PBE | relaxed

Values from the calculation:
**Formation energy from the elements**: -9.68 kcal/mol of atoms
**SG**: No. 123

Geometry as extended XYZ:
```
8
Lattice="3.973 0.000 0.000 0.000 3.973 0.000 0.000 0.000 15.904" Properties=species:S:1:pos:R:3 pbc="T T T"
K 1.986 1.986 3.991
K 1.986 1.986 7.952
K 1.986 1.986 11.913
Au 0.000 0.000 9.965
Au 0.000 0.000 14.285
Au 0.000 0.000 1.620
Au 0.000 0.000 5.939
Sr 1.986 1.986 0.000
```

***

Record 2
Rb3La2TmTe6 | PBE | relaxed

Values from the calculation:
**Energy relative to the elements, uncorrected**: -1.442 eV/atom
**SG**: No. 12

Geometry as extended XYZ:
```
12
Lattice="8.068 -0.001 -0.001 -4.033 6.987 -0.001 -1.347 -2.332 8.543" Properties=species:S:1:pos:R:3 pbc="T T T"
Rb 1.344 2.327 4.270
Rb -2.649 4.633 4.270
Rb 5.337 0.021 4.270
Te 2.580 -0.002 1.730
Te -1.291 2.234 1.730
Te 3.979 2.420 6.811
Te 0.108 4.656 6.811
Te -0.058 -0.100 6.804
Te 2.746 4.754 1.737
La 0.006 4.655 -0.001
La 4.029 2.331 -0.001
Tm 0.000 0.000 0.000
```

***

no.,theoretical density (kg/m³),DOS(E_F) (states/eV/cell),DFT total energy (eV/atom)
1,6567,1.36,-2.680
2,5065,0.00,-4.449